Record 1
# GGA-PBE HoPuOsPd, optimized geometry
data_HoPuOsPd
_cell_length_a 6.878
_cell_length_b 6.878
_cell_length_c 6.878
_cell_angle_alpha 90.00
_cell_angle_beta 90.00
_cell_angle_gamma 90.00
_symmetry_space_group_name_H-M 'F -4 3 m'
_symmetry_Int_Tables_number 216
_symmetry_space_group_name_Hall 'F -4 2 3'
loop_
_atom_site_label
_atom_site_fract_x
_atom_site_fract_y
_atom_site_fract_z
Ho1 0.000 0.000 0.000
Pu1 0.000 0.000 0.500
Os1 0.250 0.250 0.750
Pd1 0.250 0.250 0.250
# Total energy   -146.779 eV per cell
# Crystal system   cubic
# ΔE_f   -0.3406 eV per atom
# Magnetic moment   18.79 Bohr magnetons per cell

***

Record 2
# GGA-PBE HoScOsPd, optimized geometry
data_HoScOsPd
_cell_length_a 6.688
_cell_length_b 6.688
_cell_length_c 6.688
_cell_angle_alpha 90.00
_cell_angle_beta 90.00
_cell_angle_gamma 90.00
_symmetry_space_group_name_H-M 'F -4 3 m'
_symmetry_Int_Tables_number 216
_symmetry_space_group_name_Hall 'F -4 2 3'
loop_
_atom_site_label
_atom_site_fract_x
_atom_site_fract_y
_atom_site_fract_z
Ho1 0.000 0.000 0.000
Sc1 0.000 0.000 0.500
Os1 0.250 0.250 0.750
Pd1 0.250 0.250 0.250
# Total energy   -118.971 eV per cell
# Crystal system   cubic
# ΔE_f   -0.6027 eV per atom
# Magnetic moment   0.00 Bohr magnetons per cell

***

Record 3
# GGA-PBE TbHoOsPd, optimized geometry
data_TbHoOsPd
_cell_length_a 6.894
_cell_length_b 6.894
_cell_length_c 6.894
_cell_angle_alpha 90.00
_cell_angle_beta 90.00
_cell_angle_gamma 90.00
_symmetry_space_group_name_H-M 'F -4 3 m'
_symmetry_Int_Tables_number 216
_symmetry_space_group_name_Hall 'F -4 2 3'
loop_
_atom_site_label
_atom_site_fract_x
_atom_site_fract_y
_atom_site_fract_z
Tb1 0.000 0.000 0.000
Ho1 0.000 0.000 0.500
Os1 0.250 0.250 0.250
Pd1 0.250 0.250 0.750
# Total energy   -111.181 eV per cell
# Crystal system   cubic
# ΔE_f   -0.5412 eV per atom
# Magnetic moment   0.00 Bohr magnetons per cell

***

Record 4
# GGA-PBE HoTiOsPd, optimized geometry
data_HoTiOsPd
_cell_length_a 6.563
_cell_length_b 6.563
_cell_length_c 6.563
_cell_angle_alpha 90.00
_cell_angle_beta 90.00
_cell_angle_gamma 90.00
_symmetry_space_group_name_H-M 'F -4 3 m'
_symmetry_Int_Tables_number 216
_symmetry_space_group_name_Hall 'F -4 2 3'
loop_
_atom_site_label
_atom_site_fract_x
_atom_site_fract_y
_atom_site_fract_z
Ho1 0.000 0.000 0.000
Ti1 0.000 0.000 0.500
Os1 0.250 0.250 0.750
Pd1 0.250 0.250 0.250
# Total energy   -122.800 eV per cell
# Crystal system   cubic
# ΔE_f   -0.4512 eV per atom
# Magnetic moment   0.00 Bohr magnetons per cell

***

Record 5
# GGA-PBE HoTmOsPd, optimized geometry
data_HoTmOsPd
_cell_length_a 6.831
_cell_length_b 6.831
_cell_length_c 6.831
_cell_angle_alpha 90.00
_cell_angle_beta 90.00
_cell_angle_gamma 90.00
_symmetry_space_group_name_H-M 'F -4 3 m'
_symmetry_Int_Tables_number 216
_symmetry_space_group_name_Hall 'F -4 2 3'
loop_
_atom_site_label
_atom_site_fract_x
_atom_site_fract_y
_atom_site_fract_z
Ho1 0.000 0.000 0.000
Tm1 0.000 0.000 0.500
Os1 0.250 0.250 0.250
Pd1 0.250 0.250 0.750
# Total energy   -111.434 eV per cell
# Crystal system   cubic
# ΔE_f   -0.5967 eV per atom
# Magnetic moment   0.00 Bohr magnetons per cell

***

Record 6
# GGA-PBE YHoOsPd, optimized geometry
data_YHoOsPd
_cell_length_a 6.889
_cell_length_b 6.889
_cell_length_c 6.889
_cell_angle_alpha 90.00
_cell_angle_beta 90.00
_cell_angle_gamma 90.00
_symmetry_space_group_name_H-M 'F -4 3 m'
_symmetry_Int_Tables_number 216
_symmetry_space_group_name_Hall 'F -4 2 3'
loop_
_atom_site_label
_atom_site_fract_x
_atom_site_fract_y
_atom_site_fract_z
Y1 0.000 0.000 0.000
Ho1 0.000 0.000 0.500
Os1 0.250 0.250 0.750
Pd1 0.250 0.250 0.250
# Total energy   -118.483 eV per cell
# Crystal system   cubic
# ΔE_f   -0.5391 eV per atom
# Magnetic moment   0.00 Bohr magnetons per cell

***

Please write out number 6 again, unchanged.
# GGA-PBE YHoOsPd, optimized geometry
data_YHoOsPd
_cell_length_a 6.889
_cell_length_b 6.889
_cell_length_c 6.889
_cell_angle_alpha 90.00
_cell_angle_beta 90.00
_cell_angle_gamma 90.00
_symmetry_space_group_name_H-M 'F -4 3 m'
_symmetry_Int_Tables_number 216
_symmetry_space_group_name_Hall 'F -4 2 3'
loop_
_atom_site_label
_atom_site_fract_x
_atom_site_fract_y
_atom_site_fract_z
Y1 0.000 0.000 0.000
Ho1 0.000 0.000 0.500
Os1 0.250 0.250 0.750
Pd1 0.250 0.250 0.250
# Total energy   -118.483 eV per cell
# Crystal system   cubic
# ΔE_f   -0.5391 eV per atom
# Magnetic moment   0.00 Bohr magnetons per cell

***

What is the magnetic moment in the first record?
18.79 Bohr magnetons per cell

***

Which of these has the highest total energy?
TbHoOsPd

***

ΔE_f of number 4 (HoTiOsPd)?
-0.4512 eV per atom